GeIrN | PBE-GGA | relaxed

```
GeIrN
1.0
3.617 -1.904 0.000
3.617 1.904 0.000
-1.043 0.000 3.436
Ge Ir N
1 1 1
Direct
0.000 0.000 0.000 Ge
0.349 0.349 0.304 Ir
0.852 0.852 0.441 N
```

E above lowest polymorph (meV/atom): 261.7
Uncorrected formation energy (meV per atom): 520